[1]
Density functional theory data (PBE-GGA) for an optimized crystal structure of ZrTlTc2.

abc: 3.303 4.974 9.039
angles: 90.00 90.00 90.00
Space group Cmmm (No. 65)
One atom of each set of equivalent atoms:
Zr: 0.000 0.000 0.000 [2 per cell]
Tl: 0.000 0.000 0.500 [2 per cell]
Tc: 0.000 0.500 0.238 [4 per cell]

Crystal system: orthorhombic
E_form in meV/atom: 369
Energy relative to the lowest polymorph listed for this composition in kcal/mol of atoms: 7.04

[2]
Density functional theory data (PBE-GGA) for an optimized crystal structure of Zr2TlTc.

abc: 3.2520 3.2520 27.9698
angles: 90.00 90.00 120.00
Space group R3m (No. 160, hexagonal axes)
One atom of each set of equivalent atoms:
Zr: 0.0000 0.0000 0.0000 [3 per cell]
Zr: 0.0000 0.0000 0.2423 [3 per cell]
Tl: 0.0000 0.0000 0.4836 [3 per cell]
Tc: 0.0000 0.0000 0.7356 [3 per cell]

Crystal system: trigonal
E_form in meV/atom: 209

[3]
Density functional theory data (PBE-GGA) for an optimized crystal structure of ZrTlTc2.

abc: 4.056 4.056 8.730
angles: 90.00 90.00 90.00
Space group I-4m2 (No. 119)
One atom of each set of equivalent atoms:
Zr: 0.000 0.000 0.000 [2 per cell]
Tl: 0.000 0.500 0.250 [2 per cell]
Tc: 0.000 0.000 0.500 [2 per cell]
Tc: 0.000 0.500 0.750 [2 per cell]

Crystal system: tetragonal
E_form in meV/atom: 266
Energy relative to the lowest polymorph listed for this composition in kcal/mol of atoms: 4.65

[4]
Density functional theory data (PBE-GGA) for an optimized crystal structure of Zr2TlTc.

abc: 3.340 3.340 7.396
angles: 90.00 90.00 90.00
Space group P4/mmm (No. 123)
One atom of each set of equivalent atoms:
Zr: 0.000 0.000 0.213 [2 per cell]
Tl: 0.500 0.500 0.500 [1 per cell]
Tc: 0.500 0.500 0.000 [1 per cell]

Crystal system: tetragonal
E_form in meV/atom: -253

[5]
Density functional theory data (PBE-GGA) for an optimized crystal structure of ZrTlTc2.

abc: 3.065 4.514 5.836
angles: 90.00 100.45 90.00
Space group P2/m (No. 10)
One atom of each set of equivalent atoms:
Zr: 0.000 0.000 0.000 [1 per cell]
Tl: 0.500 0.000 0.500 [1 per cell]
Tc: 0.401 0.500 0.803 [2 per cell]

Crystal system: monoclinic
E_form in meV/atom: 301
Energy relative to the lowest polymorph listed for this composition in kcal/mol of atoms: 5.46

[6]
Density functional theory data (PBE-GGA) for an optimized crystal structure of Zr2TlTc.

abc: 6.815 6.815 6.815
angles: 90.00 90.00 90.00
Space group F-43m (No. 216)
One atom of each set of equivalent atoms:
Zr: 0.000 0.000 0.000 [4 per cell]
Zr: 0.250 0.250 0.250 [4 per cell]
Tl: 0.250 0.250 0.750 [4 per cell]
Tc: 0.000 0.000 0.500 [4 per cell]

Crystal system: cubic
E_form in meV/atom: 97

Ρ / g cm⁻³: 10.992, 9.429, 11.367, 9.759, 10.279, 10.172
Final energy / eV/atom: -7.54, -7.25, -7.65, -7.71, -7.61, -7.36